# 1
Here is an optimized crystal structure of ZrTcCl from Alexandria. Energies are from PBE.

* E above lowest polymorph: 0.00 kcal/mol of atoms
* space-group type: No. 156
* ΔE_f (raw): -287 meV per atom

Lattice parameters (Å, degrees): 3.297 3.297 6.664 90.00 90.00 120.00
Element x y z (fractional)
Zr  0.000  0.000  0.000
Tc  0.333  0.667  0.726
Cl  0.667  0.333  0.291



# 2
Here is an optimized crystal structure of ZrTc2Cl from Alexandria. Energies are from PBE.

* E above lowest polymorph: 10.74 kcal/mol of atoms
* space-group type: No. 47
* ΔE_f (raw): 247 meV per atom

Lattice parameters (Å, degrees): 3.131 4.097 5.328 90.00 90.00 90.00
Element x y z (fractional)
Zr  0.000  0.000  0.000
Tc  0.000  0.500  0.500
Tc  0.500  0.000  0.500
Cl  0.500  0.500  0.000



# 3
Here is an optimized crystal structure of Zr2TcCl from Alexandria. Energies are from PBE.

* E above lowest polymorph: 5.61 kcal/mol of atoms
* space-group type: No. 166
* ΔE_f (raw): -436 meV per atom

Lattice parameters (Å, degrees): 8.426 8.426 8.426 22.88 22.88 22.88
Element x y z (fractional)
Zr  0.243  0.243  0.243
Zr  0.757  0.757  0.757
Tc  0.500  0.500  0.500
Cl  0.000  0.000  0.000



# 4
Here is an optimized crystal structure of Zr2TcCl from Alexandria. Energies are from PBE.

* E above lowest polymorph: 12.67 kcal/mol of atoms
* space-group type: No. 65
* ΔE_f (raw): -129 meV per atom

Lattice parameters (Å, degrees): 4.842 4.842 3.189 90.00 90.00 96.29
Element x y z (fractional)
Zr  0.000  0.500  0.000
Zr  0.500  0.000  0.000
Tc  0.000  0.000  0.500
Cl  0.500  0.500  0.500



# 5
Here is an optimized crystal structure of ZrTc2Cl from Alexandria. Energies are from PBE.

* E above lowest polymorph: 8.43 kcal/mol of atoms
* space-group type: No. 8
* ΔE_f (raw): 147 meV per atom

Lattice parameters (Å, degrees): 4.780 4.780 5.263 108.22 108.22 39.37
Element x y z (fractional)
Zr  0.000  0.000  0.000
Tc  0.165  0.165  0.608
Tc  0.460  0.460  0.489
Cl  0.746  0.746  0.114



# 6
Here is an optimized crystal structure of ZrTc2Cl from Alexandria. Energies are from PBE.

* E above lowest polymorph: 17.39 kcal/mol of atoms
* space-group type: No. 216
* ΔE_f (raw): 535 meV per atom

Lattice parameters (Å, degrees): 4.554 4.554 4.554 60.00 60.00 60.00
Element x y z (fractional)
Zr  0.000  0.000  0.000
Tc  0.250  0.250  0.250
Tc  0.500  0.500  0.500
Cl  0.750  0.750  0.750



# 7
Here is an optimized crystal structure of Zr2TcCl from Alexandria. Energies are from PBE.

* E above lowest polymorph: 16.08 kcal/mol of atoms
* space-group type: No. 225
* ΔE_f (raw): 18 meV per atom

Lattice parameters (Å, degrees): 4.728 4.728 4.728 60.00 60.00 60.00
Element x y z (fractional)
Zr  0.250  0.250  0.250
Zr  0.750  0.750  0.750
Tc  0.000  0.000  0.000
Cl  0.500  0.500  0.500



# 8
Here is an optimized crystal structure of ZrTc2Cl from Alexandria. Energies are from PBE.

* E above lowest polymorph: 10.59 kcal/mol of atoms
* space-group type: No. 139
* ΔE_f (raw): 240 meV per atom

Lattice parameters (Å, degrees): 5.903 5.903 5.903 144.53 144.53 51.04
Element x y z (fractional)
Zr  0.000  0.000  0.000
Tc  0.250  0.750  0.500
Tc  0.750  0.250  0.500
Cl  0.500  0.500  0.000



# 9
Here is an optimized crystal structure of Zr2TcCl from Alexandria. Energies are from PBE.

* E above lowest polymorph: 14.53 kcal/mol of atoms
* space-group type: No. 71
* ΔE_f (raw): -49 meV per atom

Lattice parameters (Å, degrees): 4.910 4.910 4.910 132.35 112.39 86.87
Element x y z (fractional)
Zr  0.248  0.248  0.000
Zr  0.752  0.752  0.000
Tc  0.000  0.500  0.500
Cl  0.500  0.000  0.500



# 10
Here is an optimized crystal structure of Zr2TcCl2 from Alexandria. Energies are from PBE.

* E above lowest polymorph: 5.85 kcal/mol of atoms
* space-group type: No. 127
* ΔE_f (raw): -27 meV per atom

Lattice parameters (Å, degrees): 7.847 7.847 3.012 90.00 90.00 90.00
Element x y z (fractional)
Zr  0.185  0.315  0.000
Zr  0.315  0.815  0.000
Zr  0.685  0.185  0.000
Zr  0.815  0.685  0.000
Tc  0.000  0.000  0.000
Tc  0.500  0.500  0.000
Cl  0.122  0.622  0.500
Cl  0.378  0.122  0.500
Cl  0.622  0.878  0.500
Cl  0.878  0.378  0.500



# 11
Here is an optimized crystal structure of Zr2TcCl from Alexandria. Energies are from PBE.

* E above lowest polymorph: 7.62 kcal/mol of atoms
* space-group type: No. 44
* ΔE_f (raw): -348 meV per atom

Lattice parameters (Å, degrees): 7.892 7.892 7.892 156.04 155.44 34.58
Element x y z (fractional)
Zr  0.000  0.000  0.000
Zr  0.776  0.276  0.500
Tc  0.409  0.409  0.000
Cl  0.159  0.659  0.500



# 12
Here is an optimized crystal structure of Zr2TcCl from Alexandria. Energies are from PBE.

* E above lowest polymorph: 10.31 kcal/mol of atoms
* space-group type: No. 8
* ΔE_f (raw): -231 meV per atom

Lattice parameters (Å, degrees): 5.526 5.526 4.488 97.64 97.64 33.86
Element x y z (fractional)
Zr  0.000  0.000  0.000
Zr  0.713  0.713  0.576
Tc  0.456  0.456  0.514
Cl  0.253  0.253  0.092



# 13
Here is an optimized crystal structure of ZrTc4Cl from Alexandria. Energies are from PBE.

* space-group type: No. 216
* ΔE_f (raw): 520 meV per atom

Lattice parameters (Å, degrees): 5.257 5.257 5.257 60.00 60.00 60.00
Element x y z (fractional)
Zr  0.000  0.000  0.000
Tc  0.375  0.375  0.375
Tc  0.375  0.375  0.874
Tc  0.375  0.874  0.375
Tc  0.874  0.375  0.375
Cl  0.750  0.750  0.750



# 14
Here is an optimized crystal structure of ZrTc2Cl from Alexandria. Energies are from PBE.

* E above lowest polymorph: 17.33 kcal/mol of atoms
* space-group type: No. 122
* ΔE_f (raw): 532 meV per atom

Lattice parameters (Å, degrees): 5.767 5.767 5.767 101.56 101.56 126.81
Element x y z (fractional)
Zr  0.000  0.000  0.000
Zr  0.750  0.250  0.500
Tc  0.206  0.625  0.081
Tc  0.375  0.456  0.581
Tc  0.544  0.125  0.919
Tc  0.875  0.794  0.419
Cl  0.250  0.750  0.500
Cl  0.500  0.500  0.000



# 15
Here is an optimized crystal structure of ZrTc2Cl from Alexandria. Energies are from PBE.

* E above lowest polymorph: 15.32 kcal/mol of atoms
* space-group type: No. 65
* ΔE_f (raw): 445 meV per atom

Lattice parameters (Å, degrees): 5.038 5.038 3.148 90.00 90.00 120.70
Element x y z (fractional)
Zr  0.000  0.000  0.000
Tc  0.000  0.500  0.500
Tc  0.500  0.000  0.500
Cl  0.500  0.500  0.000



# 16
Here is an optimized crystal structure of ZrTcCl from Alexandria. Energies are from PBE.

* E above lowest polymorph: 6.80 kcal/mol of atoms
* space-group type: No. 156
* ΔE_f (raw): 8 meV per atom

Lattice parameters (Å, degrees): 4.292 4.292 3.183 90.00 90.00 120.00
Element x y z (fractional)
Zr  0.000  0.000  0.000
Tc  0.333  0.667  0.441
Cl  0.667  0.333  0.467



# 17
Here is an optimized crystal structure of Zr2TcCl from Alexandria. Energies are from PBE.

* E above lowest polymorph: 3.23 kcal/mol of atoms
* space-group type: No. 123
* ΔE_f (raw): -539 meV per atom

Lattice parameters (Å, degrees): 3.213 3.213 7.768 90.00 90.00 90.00
Element x y z (fractional)
Zr  0.000  0.000  0.209
Zr  0.000  0.000  0.791
Tc  0.500  0.500  0.000
Cl  0.500  0.500  0.500



# 18
Here is an optimized crystal structure of ZrTc2Cl from Alexandria. Energies are from PBE.

* E above lowest polymorph: 8.19 kcal/mol of atoms
* space-group type: No. 71
* ΔE_f (raw): 136 meV per atom

Lattice parameters (Å, degrees): 5.544 5.544 5.544 148.79 132.94 57.55
Element x y z (fractional)
Zr  0.000  0.000  0.000
Tc  0.273  0.773  0.500
Tc  0.727  0.227  0.500
Cl  0.500  0.500  0.000



# 19
Here is an optimized crystal structure of ZrTc2Cl from Alexandria. Energies are from PBE.

* E above lowest polymorph: 13.92 kcal/mol of atoms
* space-group type: No. 166
* ΔE_f (raw): 385 meV per atom

Lattice parameters (Å, degrees): 8.484 8.484 8.484 21.09 21.09 21.09
Element x y z (fractional)
Zr  0.000  0.000  0.000
Tc  0.249  0.249  0.249
Tc  0.751  0.751  0.751
Cl  0.500  0.500  0.500



# 20
Here is an optimized crystal structure of ZrTc2Cl from Alexandria. Energies are from PBE.

* E above lowest polymorph: 12.48 kcal/mol of atoms
* space-group type: No. 44
* ΔE_f (raw): 322 meV per atom

Lattice parameters (Å, degrees): 5.370 5.370 5.370 146.90 128.27 62.81
Element x y z (fractional)
Zr  0.000  0.000  0.000
Tc  0.471  0.471  0.000
Tc  0.707  0.207  0.500
Cl  0.241  0.741  0.500



# 21
Here is an optimized crystal structure of ZrTc2Cl from Alexandria. Energies are from PBE.

* E above lowest polymorph: 21.95 kcal/mol of atoms
* space-group type: No. 225
* ΔE_f (raw): 733 meV per atom

Lattice parameters (Å, degrees): 4.554 4.554 4.554 60.00 60.00 60.00
Element x y z (fractional)
Zr  0.000  0.000  0.000
Tc  0.250  0.250  0.250
Tc  0.750  0.750  0.750
Cl  0.500  0.500  0.500



# 22
Here is an optimized crystal structure of ZrTc2Cl from Alexandria. Energies are from PBE.

* E above lowest polymorph: 14.46 kcal/mol of atoms
* space-group type: No. 123
* ΔE_f (raw): 408 meV per atom

Lattice parameters (Å, degrees): 3.159 3.159 6.743 90.00 90.00 90.00
Element x y z (fractional)
Zr  0.000  0.000  0.000
Tc  0.500  0.500  0.253
Tc  0.500  0.500  0.747
Cl  0.000  0.000  0.500



# 23
Here is an optimized crystal structure of Zr4TcCl from Alexandria. Energies are from PBE.

* space-group type: No. 216
* ΔE_f (raw): 735 meV per atom

Lattice parameters (Å, degrees): 5.698 5.698 5.698 60.00 60.00 60.00
Element x y z (fractional)
Zr  0.378  0.378  0.378
Zr  0.378  0.378  0.867
Zr  0.378  0.867  0.378
Zr  0.867  0.378  0.378
Tc  0.750  0.750  0.750
Cl  0.000  0.000  0.000



# 24
Here is an optimized crystal structure of ZrTcCl from Alexandria. Energies are from PBE.

* E above lowest polymorph: 20.85 kcal/mol of atoms
* space-group type: No. 216
* ΔE_f (raw): 617 meV per atom

Lattice parameters (Å, degrees): 4.234 4.234 4.234 60.00 60.00 60.00
Element x y z (fractional)
Zr  0.000  0.000  0.000
Tc  0.500  0.500  0.500
Cl  0.750  0.750  0.750



# 25
Here is an optimized crystal structure of TeCl2 from Alexandria. Energies are from PBE.

* space-group type: No. 164
* ΔE_f (raw): 38 meV per atom

Lattice parameters (Å, degrees): 3.395 3.395 7.841 90.00 90.00 120.00
Element x y z (fractional)
Te  0.000  0.000  0.000
Cl  0.333  0.667  0.723
Cl  0.667  0.333  0.277



# 26
Here is an optimized crystal structure of TeCl from Alexandria. Energies are from PBE.

* space-group type: No. 8
* ΔE_f (raw): -205 meV per atom

Lattice parameters (Å, degrees): 8.876 8.876 7.371 98.50 98.50 24.38
Element x y z (fractional)
Te  0.000  0.000  0.000
Te  0.396  0.396  0.297
Te  0.571  0.571  0.277
Cl  0.107  0.107  0.550
Cl  0.369  0.369  0.604
Cl  0.704  0.704  0.187



# 27
Here is an optimized crystal structure of TeCl2 from Alexandria. Energies are from PBE.

* space-group type: No. 140
* ΔE_f (raw): -62 meV per atom

Lattice parameters (Å, degrees): 5.837 5.837 5.837 107.09 107.09 114.34
Element x y z (fractional)
Te  0.250  0.250  0.000
Te  0.750  0.750  0.000
Cl  0.192  0.692  0.885
Cl  0.308  0.192  0.500
Cl  0.692  0.808  0.500
Cl  0.808  0.308  0.115



# 28
Here is an optimized crystal structure of TeCl from Alexandria. Energies are from PBE.

* space-group type: No. 62
* ΔE_f (raw): -185 meV per atom

Lattice parameters (Å, degrees): 7.737 3.872 9.784 90.00 90.00 90.00
Element x y z (fractional)
Te  0.005  0.250  0.104
Te  0.495  0.750  0.604
Te  0.505  0.250  0.396
Te  0.995  0.750  0.896
Cl  0.245  0.250  0.745
Cl  0.255  0.750  0.245
Cl  0.745  0.250  0.755
Cl  0.755  0.750  0.255



# 29
Here is an optimized crystal structure of TeCl2 from Alexandria. Energies are from PBE.

* space-group type: No. 12
* ΔE_f (raw): -338 meV per atom

Lattice parameters (Å, degrees): 6.778 6.778 8.931 116.03 116.03 34.63
Element x y z (fractional)
Te  0.155  0.155  0.440
Te  0.845  0.845  0.560
Cl  0.164  0.164  0.184
Cl  0.480  0.480  0.280
Cl  0.520  0.520  0.720
Cl  0.836  0.836  0.816



# 30
Here is an optimized crystal structure of TeCl2 from Alexandria. Energies are from PBE.

* space-group type: No. 191
* ΔE_f (raw): 414 meV per atom

Lattice parameters (Å, degrees): 5.020 5.020 3.183 90.00 90.00 120.00
Element x y z (fractional)
Te  0.000  0.000  0.000
Cl  0.333  0.667  0.500
Cl  0.667  0.333  0.500